First-principles (PBE-GGA) data for a relaxed structure of MnVRu3, as listed in Alexandria via LeMat-Bulk.

Values from the calculation:
For the formation enthalpy at 0 K, the calculation gives 0.02 eV/atom.

abc: 4.2166 14.0077 4.5666
angles: 90.00 90.00 90.00
Space group Cmc2_1 (No. 36)
One atom of each set of equivalent atoms:
Mn  0.0000  0.1351  0.0000 [4 per cell]
V  0.0000  0.3529  0.8706 [4 per cell]
Ru  0.0000  0.0524  0.4970 [4 per cell]
Ru  0.0000  0.2547  0.3769 [4 per cell]
Ru  0.0000  0.4458  0.3551 [4 per cell]